# 1
# GaAs3Rh

A relaxed structure of GaAs3Rh (PBE-GGA, Alexandria via LeMat-Bulk).

Geometry as POSCAR:
```
GaAs3Rh
1.0
4.769 0.000 0.000
0.000 4.769 0.000
0.000 0.000 4.769
Ga As Rh
1 3 1
Direct
0.000 0.000 0.000
0.000 0.000 0.500
0.000 0.500 0.000
0.500 0.000 0.000
0.500 0.500 0.500
```

Values from the calculation:
- Calculated formation energy: 0.997 eV per atom



# 2
# U3Se5

A relaxed structure of U3Se5 (PBE-GGA, Alexandria via LeMat-Bulk).

Geometry as POSCAR:
```
U3Se5
1.0
-5.544 5.544 2.984
5.544 -5.544 2.984
5.544 5.544 -2.984
U Se
6 10
Direct
0.161 0.661 0.821
0.250 0.250 0.000
0.339 0.161 0.500
0.661 0.839 0.500
0.750 0.750 0.000
0.839 0.339 0.179
0.080 0.218 0.298
0.218 0.920 0.138
0.250 0.750 0.500
0.282 0.420 0.702
0.420 0.718 0.138
0.580 0.282 0.862
0.718 0.580 0.298
0.750 0.250 0.500
0.782 0.080 0.862
0.920 0.782 0.702
```

Values from the calculation:
- Formation energy (no corrections): -1.0765 eV/atom



# 3
# SbPt2O

A relaxed structure of SbPt2O (PBE-GGA, Alexandria via LeMat-Bulk).

Geometry as POSCAR:
```
SbPt2O
1.0
-2.423 2.423 6.478
2.423 -2.423 6.478
2.423 2.423 -6.478
Sb Pt O
2 4 2
Direct
0.000 0.000 0.000
0.750 0.250 0.500
0.242 0.625 0.117
0.375 0.492 0.617
0.508 0.125 0.883
0.875 0.758 0.383
0.250 0.750 0.500
0.500 0.500 0.000
```

Values from the calculation:
- Formation energy (no corrections): -0.0392 eV/atom